Record 1
DFT (PBE) results for an optimized crystal structure of Nd4As3P.

Output
mass density	6.387	g/cm3
space group	Pm-3m
calculated formation energy	-1.516	eV/atom
magnetic moment	0.000	μB per formula unit

Lattice parameters (Å, degrees): 6.005 6.005 6.005 90.00 90.00 90.00
Fractional positions:
As  0.500  0.000  0.500
Nd  0.500  0.000  0.000
As  0.500  0.500  0.000
As  0.000  0.500  0.500
Nd  0.500  0.500  0.500
Nd  0.000  0.500  0.000
P  0.000  0.000  0.000
Nd  0.000  0.000  0.500

---

Record 2
DFT (PBE) results for an optimized crystal structure of SrDyTeSe.

Output
mass density	6.259	g/cm3
space group	R3m
energy relative to the elements, uncorrected	-36.37	kcal/mol of atoms
magnetic moment	0.000	μB per formula unit

Lattice parameters (Å, degrees): 4.243 4.245 8.145 90.00 105.09 120.00
Fractional positions:
Se  0.485  0.141  0.641
Dy  0.298  0.547  0.861
Te  0.122  0.959  0.096
Sr  0.973  0.384  0.372

---

Record 3
DFT (PBE) results for an optimized crystal structure of AgBiIrO6.

Output
mass density	8.123	g/cm3
space group	P-31c
energy relative to the elements, uncorrected	-13.73	kcal/mol of atoms
magnetic moment	0.000	μB per formula unit

Lattice parameters (Å, degrees): 5.569 5.569 9.211 90.00 90.00 120.00
Fractional positions:
O  0.347  0.387  0.869
O  0.387  0.040  0.131
O  0.960  0.613  0.369
O  0.347  0.960  0.631
Bi  0.667  0.333  0.750
O  0.960  0.347  0.131
Ag  0.000  0.000  0.000
Ir  0.667  0.333  0.250
O  0.653  0.613  0.131
O  0.387  0.347  0.369
O  0.613  0.653  0.631
Ir  0.333  0.667  0.750
O  0.040  0.387  0.631
O  0.613  0.960  0.869
Ag  0.000  0.000  0.500
O  0.040  0.653  0.869
Bi  0.333  0.667  0.250
O  0.653  0.040  0.369

---

Record 4
DFT (PBE) results for an optimized crystal structure of LiAg2.

Output
mass density	7.539	g/cm3
space group	Fd-3m
calculated formation energy	-0.091	eV/atom
magnetic moment	0.000	μB per formula unit

Lattice parameters (Å, degrees): 8.218 8.218 8.218 60.00 60.00 60.00
Fractional positions:
Ag  0.500  0.500  0.000
Ag  0.688  0.062  0.562
Li  0.716  0.716  0.851
Ag  0.062  0.688  0.188
Ag  0.938  0.938  0.812
Ag  0.500  0.000  0.000
Ag  0.000  0.500  0.000
Li  0.284  0.284  0.784
Ag  0.062  0.688  0.562
Ag  0.312  0.938  0.812
Li  0.284  0.649  0.784
Ag  0.312  0.938  0.438
Ag  0.938  0.312  0.438
Ag  0.312  0.312  0.438
Li  0.284  0.284  0.149
Li  0.716  0.716  0.216
Li  0.351  0.716  0.216
Ag  0.500  0.500  0.500
Ag  0.062  0.062  0.188
Ag  0.938  0.312  0.812
Li  0.649  0.284  0.784
Ag  0.688  0.688  0.562
Ag  0.688  0.062  0.188
Li  0.716  0.351  0.216

---

Record 5
DFT (PBE) results for an optimized crystal structure of Tl3ReBi.

Output
mass density	10.620	g/cm3
space group	Pm-3m
calculated formation energy	0.803	eV/atom
magnetic moment	2.774	μB per formula unit

Lattice parameters (Å, degrees): 5.402 5.402 5.402 90.00 90.00 90.00
Last column: magnetic moment on the atom in μB.
Fractional positions:
Tl  0.500  0.000  0.000  0.00
Tl  0.000  0.500  0.000  0.00
Re  0.000  0.000  0.000  1.39
Tl  0.000  0.000  0.500  0.00
Bi  0.500  0.500  0.500  0.85

---

Record 6
DFT (PBE) results for an optimized crystal structure of CsAu2ICl.

Output
mass density	5.140	g/cm3
space group	P4/mmm
energy relative to the elements, uncorrected	14.48	kcal/mol of atoms
magnetic moment	0.002	μB per formula unit

Lattice parameters (Å, degrees): 6.178 5.834 6.178 90.00 90.00 90.00
Fractional positions:
Cs  0.000  0.000  0.000
I  0.500  0.500  0.500
Au  0.000  0.000  0.500
Cl  0.000  0.500  0.000
Au  0.500  0.000  0.000

---

Record 7
DFT (PBE) results for an optimized crystal structure of PuCuAuO5.

Output
mass density	7.659	g/cm3
space group	C2/c
energy relative to the elements, uncorrected	-28.53	kcal/mol of atoms
magnetic moment	0.136	μB per formula unit

Lattice parameters (Å, degrees): 6.287 6.287 8.598 105.20 105.20 119.26
Last column: magnetic moment on the atom in μB.
Fractional positions:
O  0.370  0.006  0.623  -0.21
O  0.365  0.232  0.085  -0.11
O  0.768  0.635  0.415  -0.11
Au  0.790  0.210  0.250  -0.17
Au  0.210  0.790  0.750  -0.17
Pu  0.000  0.000  0.000  1.82
Cu  0.244  0.756  0.250  -0.52
Pu  0.000  0.000  0.500  1.82
O  0.630  0.994  0.377  -0.21
O  0.070  0.930  0.250  -0.25
O  0.006  0.370  0.123  -0.21
O  0.635  0.768  0.915  -0.11
O  0.994  0.630  0.877  -0.21
Cu  0.756  0.244  0.750  -0.52
O  0.232  0.365  0.585  -0.11
O  0.930  0.070  0.750  -0.25

---

Record 8
DFT (PBE) results for an optimized crystal structure of TaTcP.

Output
mass density	11.230	g/cm3
space group	P3m1
calculated formation energy	-0.134	eV/atom
magnetic moment	0.000	μB per formula unit

Lattice parameters (Å, degrees): 2.949 2.949 6.084 90.00 90.00 120.00
Fractional positions:
Tc  0.667  0.333  0.699
P  0.000  0.000  0.980
Ta  0.333  0.667  0.321

---

Record 9
DFT (PBE) results for an optimized crystal structure of Ac2HIN.

Output
mass density	7.682	g/cm3
space group	I-4m2
total energy	-5.35	eV per atom
magnetic moment	0.494	μB per formula unit

Lattice parameters (Å, degrees): 4.199 4.199 7.885 105.44 105.44 90.00
Last column: magnetic moment on the atom in μB.
Fractional positions:
I  0.000  0.000  0.000  0.00
H  0.750  0.250  0.500  0.00
Ac  0.341  0.341  0.682  0.07
N  0.250  0.750  0.500  0.01
Ac  0.659  0.659  0.318  0.07

---

Record 10
DFT (PBE) results for an optimized crystal structure of GaGeSeN2.

Output
mass density	4.730	g/cm3
space group	P4/mmm
energy relative to the elements, uncorrected	21.80	kcal/mol of atoms
magnetic moment	0.000	μB per formula unit

Lattice parameters (Å, degrees): 3.682 3.682 6.457 90.00 90.00 90.00
Fractional positions:
Se  0.000  0.000  0.500
N  0.000  0.500  0.000
Ge  0.000  0.000  0.000
N  0.500  0.000  0.000
Ga  0.500  0.500  0.500

---

Record 11
DFT (PBE) results for an optimized crystal structure of K2ReRu.

Output
mass density	7.420	g/cm3
space group	I4/mmm
calculated formation energy	1.374	eV/atom
magnetic moment	0.000	μB per formula unit

Lattice parameters (Å, degrees): 6.365 6.365 6.365 145.64 145.64 49.39
Fractional positions:
K  0.500  0.500  0.000
Ru  0.750  0.250  0.500
K  0.000  0.000  0.000
Re  0.250  0.750  0.500

---

Record 12
DFT (PBE) results for an optimized crystal structure of Y3Tm2Sc.

Output
mass density	5.825	g/cm3
space group	C2/m
calculated formation energy	0.148	eV/atom
magnetic moment	0.175	μB per formula unit

Lattice parameters (Å, degrees): 3.424 8.893 12.719 78.27 82.26 78.90
Last column: magnetic moment on the atom in μB.
Fractional positions:
Y  0.037  0.145  0.780  0.01
Tm  0.180  0.520  0.120  0.02
Tm  0.656  0.157  0.531  0.00
Sc  0.438  0.483  0.641  0.08
Y  0.400  0.174  0.026  0.00
Y  0.744  0.807  0.705  0.00
Y  0.963  0.855  0.220  0.01
Tm  0.820  0.480  0.880  0.02
Sc  0.562  0.517  0.359  0.08
Tm  0.344  0.843  0.469  0.00
Y  0.600  0.826  0.974  0.00
Y  0.256  0.193  0.295  0.00

---

Record 13
DFT (PBE) results for an optimized crystal structure of AcAgTeS.

Output
mass density	6.797	g/cm3
space group	R-3m
energy relative to the elements, uncorrected	-29.84	kcal/mol of atoms
magnetic moment	0.000	μB per formula unit

Lattice parameters (Å, degrees): 4.832 4.832 12.271 78.64 78.64 60.00
Fractional positions:
Ac  0.113  0.113  0.661
Ag  0.304  0.304  0.088
Ac  0.887  0.887  0.339
S  0.197  0.197  0.410
Te  0.614  0.614  0.158
Te  0.386  0.386  0.842
S  0.803  0.803  0.590
Ag  0.696  0.696  0.912

---

Record 14
DFT (PBE) results for an optimized crystal structure of Pr4Y11Er9.

Output
mass density	6.489	g/cm3
space group	Cmmm
calculated formation energy	0.063	eV/atom
magnetic moment	0.391	μB per formula unit

Lattice parameters (Å, degrees): 3.711 15.093 15.093 112.72 90.00 90.00
Fractional positions:
Y  0.000  0.636  0.364
Y  0.000  0.044  0.407
Y  0.000  0.956  0.593
Y  0.000  0.407  0.044
Er  0.500  0.789  0.934
Y  0.000  0.593  0.956
Er  0.500  0.635  0.163
Pr  0.500  0.754  0.554
Er  0.500  0.934  0.789
Y  0.000  0.364  0.636
Y  0.000  0.841  0.159
Y  0.000  0.713  0.713
Er  0.500  0.163  0.635
Y  0.000  0.159  0.841
Er  0.500  0.365  0.837
Er  0.500  0.066  0.211
Pr  0.500  0.246  0.446
Y  0.000  0.000  0.000
Er  0.500  0.211  0.066
Y  0.000  0.287  0.287
Pr  0.500  0.446  0.246
Er  0.500  0.837  0.365
Pr  0.500  0.554  0.754
Er  0.500  0.500  0.500

---

Record 15
DFT (PBE) results for an optimized crystal structure of K3NiS3.

Output
mass density	2.211	g/cm3
space group	R3m
energy relative to the elements, uncorrected	-16.10	kcal/mol of atoms
magnetic moment	1.191	μB per formula unit

Lattice parameters (Å, degrees): 6.263 6.484 6.484 110.15 108.78 108.78
Last column: magnetic moment on the atom in μB.
Fractional positions:
K  0.997  0.000  0.427  0.00
S  0.468  0.344  0.000  0.10
K  0.570  0.573  0.573  0.00
Ni  0.351  0.000  0.000  0.60
S  0.468  0.000  0.344  0.10
K  0.997  0.427  0.000  0.00
S  0.124  0.656  0.656  0.10

---

Record 16
DFT (PBE) results for an optimized crystal structure of Y8Ga2Os.

Output
mass density	5.975	g/cm3
space group	Immm
calculated formation energy	-0.179	eV/atom
magnetic moment	0.000	μB per formula unit

Lattice parameters (Å, degrees): 4.940 8.261 8.568 118.82 106.75 90.00
Fractional positions:
Y  0.123  0.123  0.247
Y  0.345  0.117  0.691
Y  0.877  0.877  0.753
Y  0.000  0.677  0.000
Y  0.655  0.883  0.309
Ga  0.192  0.693  0.385
Ga  0.808  0.307  0.615
Os  0.500  0.000  0.000
Y  0.000  0.323  0.000
Y  0.345  0.574  0.691
Y  0.655  0.426  0.309

---

Record 17
DFT (PBE) results for an optimized crystal structure of RbScSI2.

Output
mass density	3.894	g/cm3
space group	P4/mmm
energy relative to the elements, uncorrected	-31.50	kcal/mol of atoms
magnetic moment	0.000	μB per formula unit

Lattice parameters (Å, degrees): 6.050 6.050 4.851 90.00 90.00 90.00
Fractional positions:
I  0.500  0.000  0.000
Rb  0.500  0.500  0.500
S  0.000  0.000  0.500
Sc  0.000  0.000  0.000
I  0.000  0.500  0.000

---

Record 18
DFT (PBE) results for an optimized crystal structure of NiRhS4.

Output
mass density	5.222	g/cm3
space group	P2_1/c
energy relative to the elements, uncorrected	-7.60	kcal/mol of atoms
magnetic moment	0.000	μB per formula unit

Lattice parameters (Å, degrees): 5.691 5.687 5.696 90.00 89.72 90.00
Fractional positions:
S  0.107  0.394  0.887
Rh  0.500  0.500  0.000
S  0.108  0.891  0.602
S  0.893  0.606  0.113
Ni  0.000  0.500  0.500
Ni  0.500  0.000  0.500
Rh  0.000  0.000  0.000
S  0.607  0.106  0.887
S  0.392  0.391  0.398
S  0.608  0.609  0.602
S  0.892  0.109  0.398
S  0.393  0.894  0.113

---

Record 19
DFT (PBE) results for an optimized crystal structure of DyZrSi.

Output
mass density	6.920	g/cm3
space group	C2/m
energy relative to the elements, uncorrected	-13.32	kcal/mol of atoms
magnetic moment	0.000	μB per formula unit

Lattice parameters (Å, degrees): 4.018 6.599 5.752 78.04 69.56 72.28
Fractional positions:
Zr  0.172  0.434  0.222
Zr  0.828  0.566  0.778
Dy  0.578  0.158  0.686
Si  0.868  0.168  0.096
Si  0.132  0.832  0.904
Dy  0.422  0.842  0.314

---

Record 20
DFT (PBE) results for an optimized crystal structure of Pr5Ni2I2.

Output
mass density	6.728	g/cm3
space group	Cmce
energy relative to the elements, uncorrected	-11.72	kcal/mol of atoms
magnetic moment	0.000	μB per formula unit

Lattice parameters (Å, degrees): 8.555 7.541 9.276 90.00 62.54 90.00
Fractional positions:
Pr  0.944  0.355  0.776
Pr  0.780  0.855  0.776
Ni  0.888  0.641  0.000
Pr  0.720  0.355  0.224
Pr  0.556  0.855  0.224
I  0.707  0.500  0.586
Pr  0.280  0.645  0.776
Ni  0.388  0.859  0.000
Ni  0.612  0.141  0.000
I  0.293  0.500  0.414
Pr  0.500  0.500  0.000
Pr  0.000  0.000  0.000
I  0.207  0.000  0.586
Pr  0.056  0.645  0.224
Ni  0.112  0.359  0.000
I  0.793  0.000  0.414
Pr  0.444  0.145  0.776
Pr  0.220  0.145  0.224

---

Record 21
DFT (PBE) results for an optimized crystal structure of ZrAs2Rh.

Output
mass density	7.390	g/cm3
space group	I-42d
calculated formation energy	-0.405	eV/atom
magnetic moment	0.000	μB per formula unit

Lattice parameters (Å, degrees): 4.254 4.254 9.057 76.42 76.42 90.00
Fractional positions:
Zr  0.250  0.750  0.500
As  0.875  0.917  0.750
As  0.083  0.625  0.250
Zr  0.500  0.500  0.000
As  0.375  0.333  0.750
As  0.667  0.125  0.250
Rh  0.750  0.250  0.500
Rh  0.000  0.000  0.000

---

Record 22
DFT (PBE) results for an optimized crystal structure of Tl2CrRu.

Output
mass density	10.959	g/cm3
space group	R3m
calculated formation energy	0.546	eV/atom
magnetic moment	0.063	μB per formula unit

Lattice parameters (Å, degrees): 8.985 8.985 8.985 21.47 21.47 21.47
Last column: magnetic moment on the atom in μB.
Fractional positions:
Ru  0.769  0.769  0.769  -0.05
Cr  0.482  0.482  0.482  0.12
Tl  0.238  0.238  0.238  0.00
Tl  0.010  0.010  0.010  0.00

---

Record 23
DFT (PBE) results for an optimized crystal structure of La2Mn2Bi.

Output
mass density	8.332	g/cm3
space group	P4/mbm
calculated formation energy	0.012	eV/atom
magnetic moment	0.000	μB per formula unit

Lattice parameters (Å, degrees): 7.264 7.264 4.507 90.00 90.00 90.00
Fractional positions:
Bi  0.500  0.500  0.000
Mn  0.404  0.904  0.000
La  0.682  0.818  0.500
La  0.818  0.318  0.500
Bi  0.000  0.000  0.000
Mn  0.904  0.596  0.000
Mn  0.096  0.404  0.000
La  0.182  0.682  0.500
La  0.318  0.182  0.500
Mn  0.596  0.096  0.000